Version a
{
  "formula": "Tl2CuRu",
  "functional": "PBE",
  "state": "relaxed",
  "lattice_angstrom": [[-2.9443, 4.6172, -0.7931], [-3.1759, 0.4549, -4.5081], [0.9192, -3.6617, 4.0452]],
  "species": ["Tl", "Tl", "Cu", "Ru"],
  "fractional_positions": [[0.0000, 0.0000, 0.0000], [0.2500, 0.7500, 0.5000], [0.5000, 0.5000, 0.0000], [0.7500, 0.2500, 0.5000]],
  "density_g_cm3": 12.8,
  "m_tot_mub_per_atom": 0.0391,
  "space_group": "I-4m2 (119)",
  "volume_a3_per_atom": 18.62
}

***

Version b
{
  "formula": "Tl2CuRu",
  "functional": "PBE",
  "state": "relaxed",
  "lattice_angstrom": [[-4.2616, 2.5768, 0.3213], [-1.5603, 0.3712, -4.7257], [1.3494, -4.0959, 2.5114]],
  "species": ["Ru", "Tl", "Tl", "Cu"],
  "fractional_positions": [[0.2500, 0.7500, 0.5000], [0.0001, 0.0001, 0.0000], [0.4999, 0.4999, 0.0000], [0.7500, 0.2500, 0.5000]],
  "density_g_cm3": 12.9,
  "m_tot_mub_per_atom": 0.0000,
  "space_group": "I4/mmm (139)",
  "volume_a3_per_atom": 18.52
}

***

Quick one: most stable of them? version a

***

Version a
{
  "formula": "Tl2CuRu",
  "functional": "PBE",
  "state": "relaxed",
  "lattice_angstrom": [[-6.8844, 0.7160, -1.2768], [1.9858, -3.5599, 2.4612], [-1.9778, 0.6550, 2.5629]],
  "species": ["Ru", "Tl", "Tl", "Cu"],
  "fractional_positions": [[0.5000, 0.5000, 0.0000], [0.5000, 0.0000, 0.5000], [0.0000, 0.0000, 0.0000], [0.0000, 0.5000, 0.5000]],
  "density_g_cm3": 12.8,
  "m_tot_mub_per_atom": 0.0000,
  "space_group": "C2/m (12)",
  "volume_a3_per_atom": 18.53
}

***

Version b
{
  "formula": "Tl2CuRu",
  "functional": "PBE",
  "state": "relaxed",
  "lattice_angstrom": [[3.2682, 0.0000, 0.0000], [0.0000, 3.2682, 0.0000], [0.0000, 0.0000, 7.6256]],
  "species": ["Cu", "Ru", "Tl", "Tl"],
  "fractional_positions": [[0.0000, 0.0000, 0.5539], [0.5000, 0.5000, 0.6998], [0.0000, 0.0000, 0.9410], [0.5000, 0.5000, 0.3053]],
  "density_g_cm3": 11.7,
  "m_tot_mub_per_atom": 0.0001,
  "space_group": "P4mm (99)",
  "volume_a3_per_atom": 20.36
}

***

Quick one: most stable of them? version b

***

Version a
{
  "formula": "Tl2CuRu",
  "functional": "PBE",
  "state": "relaxed",
  "lattice_angstrom": [[-3.9464, -1.5677, 0.2068], [0.8893, -2.5332, -2.2328], [1.8597, -4.3035, 2.8670]],
  "species": ["Ru", "Tl", "Tl", "Cu"],
  "fractional_positions": [[0.5000, 0.5503, 0.7747], [0.5000, 0.2749, 0.3258], [0.0000, 0.9778, 0.9178], [0.0000, 0.6970, 0.4817]],
  "density_g_cm3": 12.3,
  "m_tot_mub_per_atom": 0.0000,
  "space_group": "Pm (6)",
  "volume_a3_per_atom": 19.32
}

***

Version b
{
  "formula": "Tl2CuRu",
  "functional": "PBE",
  "state": "relaxed",
  "lattice_angstrom": [[-4.1900, -2.1573, 0.8999], [-0.1096, -4.6754, 1.0716], [-1.0607, -1.4146, 4.4602]],
  "species": ["Tl", "Tl", "Cu", "Ru"],
  "fractional_positions": [[0.0000, 0.0000, 0.0000], [0.2500, 0.2500, 0.2500], [0.5000, 0.5000, 0.5000], [0.7500, 0.7500, 0.7500]],
  "density_g_cm3": 12.2,
  "m_tot_mub_per_atom": 0.3202,
  "space_group": "F-43m (216)",
  "volume_a3_per_atom": 19.52
}

***

Quick one: most stable of them? version a

***

Version a
{
  "formula": "Tm8Cu2Ru",
  "functional": "PBE",
  "state": "relaxed",
  "lattice_angstrom": [[5.6309, -0.0486, -1.0155], [-2.0201, 6.7246, -3.1691], [-0.1236, -0.4385, 7.6900]],
  "species": ["Tm", "Tm", "Tm", "Tm", "Tm", "Tm", "Tm", "Tm", "Ru", "Cu", "Cu"],
  "fractional_positions": [[0.3717, 0.6654, 0.9105], [0.5921, 0.0938, 0.3386], [0.8029, 0.6421, 0.6421], [0.5921, 0.3386, 0.0938], [0.3717, 0.9105, 0.6654], [0.1811, 0.3643, 0.3643], [0.9897, 0.2052, 0.7985], [0.9897, 0.7985, 0.2052], [0.1194, 0.0029, 0.0029], [0.4945, 0.7052, 0.3074], [0.4945, 0.3074, 0.7052]],
  "density_g_cm3": 9.3,
  "m_tot_mub_per_atom": 0.0000,
  "space_group": "Cm (8)",
  "volume_a3_per_atom": 25.53
}

***

Version b
{
  "formula": "Tm8Cu2Ru",
  "functional": "PBE",
  "state": "relaxed",
  "lattice_angstrom": [[5.0272, 0.0000, 0.0000], [0.0000, 6.6080, 0.1022], [-2.5136, -2.7142, 8.0165]],
  "species": ["Tm", "Tm", "Tm", "Tm", "Tm", "Tm", "Tm", "Tm", "Cu", "Cu", "Ru"],
  "fractional_positions": [[0.0320, 0.7944, 0.0639], [0.6670, 0.9752, 0.3339], [0.9680, 0.2056, 0.9361], [0.4083, 0.5595, 0.8166], [0.8024, 0.6835, 0.6048], [0.5917, 0.4405, 0.1834], [0.1976, 0.3165, 0.3952], [0.3330, 0.0248, 0.6661], [0.8166, 0.2860, 0.6332], [0.1834, 0.7140, 0.3668], [0.5000, 0.0000, 0.0000]],
  "density_g_cm3": 9.8,
  "m_tot_mub_per_atom": 0.0000,
  "space_group": "C2/m (12)",
  "volume_a3_per_atom": 24.34
}

***

Quick one: most stable of them? version b

***

Version a
{
  "formula": "TmCu2Ru",
  "functional": "PBE",
  "state": "relaxed",
  "lattice_angstrom": [[3.9988, 0.0000, 0.0000], [0.0000, 3.9442, 0.0000], [0.0000, 0.0000, 3.9442]],
  "species": ["Cu", "Cu", "Ru", "Tm"],
  "fractional_positions": [[0.0000, 0.0000, 0.5000], [0.0000, 0.5000, 0.0000], [0.5000, 0.0000, 0.0000], [0.5000, 0.5000, 0.5000]],
  "density_g_cm3": 10.6,
  "m_tot_mub_per_atom": 0.0576,
  "space_group": "P4/mmm (123)",
  "volume_a3_per_atom": 15.55
}

***

Version b
{
  "formula": "TmCu2Ru",
  "functional": "PBE",
  "state": "relaxed",
  "lattice_angstrom": [[4.4657, 0.0000, 0.0000], [2.2329, 3.8674, 0.0000], [2.2329, 1.2891, 3.6479]],
  "species": ["Tm", "Cu", "Cu", "Ru"],
  "fractional_positions": [[0.0000, 0.0000, 0.0000], [0.7501, 0.7501, 0.7496], [0.2499, 0.2499, 0.2504], [0.5000, 0.5000, 0.5000]],
  "density_g_cm3": 10.5,
  "m_tot_mub_per_atom": 0.0000,
  "space_group": "Fm-3m (225)",
  "volume_a3_per_atom": 15.75
}

***

Quick one: most stable of them? version a

***

Version a
{
  "formula": "Tm8CuRu2",
  "functional": "PBE",
  "state": "relaxed",
  "lattice_angstrom": [[-2.7541, 3.9314, 0.2639], [-3.7798, -2.9708, 4.8098], [7.7751, 2.2533, 3.7854]],
  "species": ["Tm", "Tm", "Tm", "Tm", "Tm", "Tm", "Tm", "Tm", "Cu", "Ru", "Ru"],
  "fractional_positions": [[0.3299, 0.0354, 0.6599], [0.5964, 0.4634, 0.1929], [0.2034, 0.3155, 0.4068], [0.7966, 0.6845, 0.5932], [0.9671, 0.2163, 0.9342], [0.0329, 0.7837, 0.0658], [0.6701, 0.9646, 0.3401], [0.4036, 0.5366, 0.8071], [0.5000, 0.0000, 0.0000], [0.8149, 0.2967, 0.6298], [0.1851, 0.7033, 0.3702]],
  "density_g_cm3": 10.0,
  "m_tot_mub_per_atom": 0.0000,
  "space_group": "C2/m (12)",
  "volume_a3_per_atom": 24.36
}

***

Version b
{
  "formula": "Tm8CuRu2",
  "functional": "PBE",
  "state": "relaxed",
  "lattice_angstrom": [[-3.9324, 1.9913, 3.5937], [-3.5886, 1.0642, -6.4875], [-0.0073, -7.2129, 2.0177]],
  "species": ["Ru", "Ru", "Tm", "Tm", "Tm", "Tm", "Tm", "Tm", "Tm", "Tm", "Cu"],
  "fractional_positions": [[0.4866, 0.3169, 0.6933], [0.4866, 0.6933, 0.3169], [0.1798, 0.3706, 0.3706], [0.9895, 0.7767, 0.2270], [0.5814, 0.3415, 0.0778], [0.9895, 0.2270, 0.7767], [0.7966, 0.6307, 0.6307], [0.3882, 0.9311, 0.6681], [0.5814, 0.0778, 0.3415], [0.3882, 0.6681, 0.9311], [0.1319, 0.0002, 0.0002]],
  "density_g_cm3": 9.5,
  "m_tot_mub_per_atom": 0.0000,
  "space_group": "Cm (8)",
  "volume_a3_per_atom": 25.74
}

***

Quick one: most stable of them? version a

***

Version a
{
  "formula": "CuRuW2",
  "functional": "PBE",
  "state": "relaxed",
  "lattice_angstrom": [[-1.5025, 0.9683, -2.0335], [-1.5440, 0.1750, 2.2171], [3.0087, 7.7789, 1.4812]],
  "species": ["W", "W", "Cu", "Ru"],
  "fractional_positions": [[0.0000, 0.0000, 0.9932], [0.5000, 0.5000, 0.2581], [0.0000, 0.0000, 0.5034], [0.5000, 0.5000, 0.7453]],
  "density_g_cm3": 14.8,
  "m_tot_mub_per_atom": 0.2509,
  "space_group": "Cmm2 (35)",
  "volume_a3_per_atom": 14.92
}

***

Version b
{
  "formula": "CuRuW2",
  "functional": "PBE",
  "state": "relaxed",
  "lattice_angstrom": [[9.1935, 0.0058, 0.0034], [8.7781, 2.7322, 0.0034], [8.7781, 1.3373, 2.3825]],
  "species": ["W", "W", "Cu", "Ru"],
  "fractional_positions": [[0.4998, 0.4998, 0.4998], [0.0002, 0.0002, 0.0002], [0.2500, 0.2500, 0.2500], [0.7500, 0.7500, 0.7500]],
  "density_g_cm3": 14.8,
  "m_tot_mub_per_atom": 0.0000,
  "space_group": "R-3m (166)",
  "volume_a3_per_atom": 14.91
}

***

Version c
{
  "formula": "CuRuW2",
  "functional": "PBE",
  "state": "relaxed",
  "lattice_angstrom": [[-3.0970, -0.9007, 2.9579], [0.5472, -3.3187, 2.7998], [0.7216, 0.8103, 4.2396]],
  "species": ["W", "W", "Cu", "Ru"],
  "fractional_positions": [[0.0000, 0.0000, 0.0000], [0.2500, 0.2500, 0.2500], [0.5000, 0.5000, 0.5000], [0.7500, 0.7500, 0.7500]],
  "density_g_cm3": 14.9,
  "m_tot_mub_per_atom": 0.0000,
  "space_group": "F-43m (216)",
  "volume_a3_per_atom": 14.82
}

***

Quick one: most stable of them? version a

***

Version a
{
  "formula": "CuRuW2",
  "functional": "PBE",
  "state": "relaxed",
  "lattice_angstrom": [[-5.9894, 3.1674, 1.8069], [-3.5761, -4.4222, -4.1019], [-5.0503, -2.2874, 0.8754]],
  "species": ["W", "W", "W", "W", "Cu", "Cu", "Ru", "Ru"],
  "fractional_positions": [[0.6440, 0.1250, 0.2500], [0.1060, 0.6250, 0.2500], [0.3750, 0.3560, 0.7500], [0.8750, 0.8940, 0.7500], [0.2500, 0.7500, 0.5000], [0.5000, 0.5000, 0.0000], [0.7500, 0.2500, 0.5000], [0.0000, 0.0000, 0.0000]],
  "density_g_cm3": 13.7,
  "m_tot_mub_per_atom": 0.0000,
  "space_group": "I-42d (122)",
  "volume_a3_per_atom": 16.17
}

***

Version b
{
  "formula": "CuRuW2",
  "functional": "PBE",
  "state": "relaxed",
  "lattice_angstrom": [[4.4037, 0.0000, 0.0000], [0.0000, 2.7857, -0.0023], [0.0000, 0.0021, 4.7639]],
  "species": ["W", "W", "Cu", "Ru"],
  "fractional_positions": [[0.5000, 0.1247, 0.3029], [0.0000, 0.1254, 0.9570], [0.0000, 0.6251, 0.4550], [0.5000, 0.6249, 0.7851]],
  "density_g_cm3": 15.1,
  "m_tot_mub_per_atom": 0.0000,
  "space_group": "Pmm2 (25)",
  "volume_a3_per_atom": 14.61
}

***

Version c
{
  "formula": "CuRuW2",
  "functional": "PBE",
  "state": "relaxed",
  "lattice_angstrom": [[4.7711, 0.0065, 0.0000], [1.6040, 4.4934, 0.0000], [-3.1875, -2.2500, 2.7460]],
  "species": ["W", "W", "Ru", "Cu"],
  "fractional_positions": [[0.0000, 0.0000, 0.0000], [0.2500, 0.7500, 0.5000], [0.7500, 0.2500, 0.5000], [0.5000, 0.5000, 0.0000]],
  "density_g_cm3": 15.0,
  "m_tot_mub_per_atom": 0.0000,
  "space_group": "I-4m2 (119)",
  "volume_a3_per_atom": 14.71
}

***

Quick one: most stable of them? version b